(1)
ZrNi2Os2 | GGA-PBE | optimized geometry

Lattice parameters (Å, degrees): 3.909 3.909 10.422 90.00 90.00 90.00
Space group I4/mmm (No. 139)
Symmetry-distinct sites (fractional):
Zr  0.000  0.000  0.000
Ni  0.000  0.500  0.250
Os  0.000  0.000  0.390

Properties
The total magnetic moment is 0.0 μB per formula unit. As for the formation energy: 84 meV/atom. As for the total energy: -84.3 eV per cell.

(2)
ZrNiOs | GGA-PBE | optimized geometry

Lattice parameters (Å, degrees): 6.088 6.088 6.088 90.00 90.00 90.00
Space group F-43m (No. 216)
Symmetry-distinct sites (fractional):
Zr  0.000  0.000  0.000
Ni  0.250  0.250  0.750
Os  0.250  0.250  0.250

Properties
The total magnetic moment is 0.0 μB per formula unit. As for the formation energy: 625 meV/atom. The value obtained for the energy above the most stable polymorph in this dataset is 1.035 eV/atom. As for the total energy: -94.7 eV per cell.

(3)
Zr2NiOs | GGA-PBE | optimized geometry

Lattice parameters (Å, degrees): 7.151 7.151 5.696 90.00 90.00 90.00
Space group I-42d (No. 122)
Symmetry-distinct sites (fractional):
Zr  0.244  0.250  0.125
Ni  0.000  0.000  0.000
Os  0.000  0.000  0.500

Properties
The total magnetic moment is 0.0 μB per formula unit. As for the formation energy: 98 meV/atom. As for the total energy: -134.9 eV per cell.

(4)
ZrNiOs2 | GGA-PBE | optimized geometry

Lattice parameters (Å, degrees): 2.852 2.852 7.483 90.00 90.00 90.00
Space group P4/mmm (No. 123)
Symmetry-distinct sites (fractional):
Zr  0.000  0.000  0.000
Ni  0.000  0.000  0.500
Os  0.500  0.500  0.291

Properties
The total magnetic moment is 0.0 μB per formula unit. As for the formation energy: 179 meV/atom. The value obtained for the energy above the most stable polymorph in this dataset is 0.302 eV/atom. As for the total energy: -36.1 eV per cell.